Record 1
# SeS2O8F

An optimized crystal structure of SeS2O8F (PBE, the Alexandria database).

Symmetry: C2/m
E_form (uncorrected) in eV/atom: -0.74

abc: 4.857 4.857 7.737
angles: 82.49 82.49 65.57
Fractional coordinates of all 12 atoms:
O1 0.738 0.275 0.194
O2 0.680 0.680 0.373
O3 0.747 0.747 0.046
O4 0.725 0.262 0.806
O5 0.275 0.738 0.194
O6 0.320 0.320 0.627
O7 0.253 0.253 0.954
O8 0.262 0.725 0.806
S1 0.384 0.384 0.788
S2 0.616 0.616 0.212
F1 0.000 0.000 0.500
Se1 0.000 0.000 0.000

---

Record 2
# SeSOF2

An optimized crystal structure of SeSOF2 (PBE, the Alexandria database).

Distance to the lowest polymorph of the same formula in eV/atom: 0.000
Symmetry: P4/mmm
E_form (uncorrected) in eV/atom: -0.14

abc: 4.446 4.446 3.779
angles: 90.00 90.00 90.00
Fractional coordinates of all 5 atoms:
O1 0.000 0.000 0.500
S1 0.500 0.500 0.500
Se1 0.000 0.000 0.000
F1 0.000 0.500 0.000
F2 0.500 0.000 0.000

---

Record 3
# SeSO2F

An optimized crystal structure of SeSO2F (PBE, the Alexandria database).

Symmetry: P4/mmm
E_form (uncorrected) in eV/atom: 0.19

abc: 3.942 3.942 4.386
angles: 90.00 90.00 90.00
Fractional coordinates of all 5 atoms:
F1 0.000 0.000 0.500
O1 0.500 0.000 0.000
O2 0.000 0.500 0.000
S1 0.500 0.500 0.500
Se1 0.000 0.000 0.000

---

Record 4
# SeSO2F

An optimized crystal structure of SeSO2F (PBE, the Alexandria database).

Symmetry: P4/mmm
E_form (uncorrected) in eV/atom: 0.09

abc: 3.421 3.421 7.073
angles: 90.00 90.00 90.00
Fractional coordinates of all 5 atoms:
F1 0.000 0.000 0.500
O1 0.500 0.000 0.000
O2 0.000 0.500 0.000
S1 0.000 0.000 0.000
Se1 0.500 0.500 0.500

---

Record 5
# SiSOF2

An optimized crystal structure of SiSOF2 (PBE, the Alexandria database).

Distance to the lowest polymorph of the same formula in eV/atom: 0.000
Symmetry: P4/mmm
E_form (uncorrected) in eV/atom: -1.00

abc: 4.153 4.153 3.344
angles: 90.00 90.00 90.00
Fractional coordinates of all 5 atoms:
O1 0.000 0.000 0.500
Si1 0.000 0.000 0.000
S1 0.500 0.500 0.500
F1 0.000 0.500 0.000
F2 0.500 0.000 0.000

---

Record 6
# SiSOF2

An optimized crystal structure of SiSOF2 (PBE, the Alexandria database).

Distance to the lowest polymorph of the same formula in eV/atom: 0.838
Symmetry: P4/mmm
E_form (uncorrected) in eV/atom: -0.17

abc: 4.714 4.714 3.365
angles: 90.00 90.00 90.00
Fractional coordinates of all 5 atoms:
F1 0.000 0.500 0.000
F2 0.500 0.000 0.000
Si1 0.500 0.500 0.500
O1 0.000 0.000 0.500
S1 0.000 0.000 0.000

---

Record 7
# Sm3SOF5

An optimized crystal structure of Sm3SOF5 (PBE, the Alexandria database).

Symmetry: Pm
E_form (uncorrected) in eV/atom: -3.71

abc: 3.782 9.609 9.663
angles: 60.48 90.00 90.00
Fractional coordinates of all 20 atoms:
F1 0.000 0.048 0.566
F2 0.500 0.122 0.714
F3 0.500 0.955 0.433
F4 0.000 0.887 0.275
F5 0.500 0.431 0.626
F6 0.000 0.842 0.879
F7 0.500 0.145 0.119
F8 0.500 0.727 0.150
F9 0.500 0.623 0.952
F10 0.000 0.276 0.837
Sm1 0.500 0.704 0.404
Sm2 0.000 0.299 0.584
Sm3 0.000 0.583 0.133
Sm4 0.500 0.878 0.714
Sm5 0.500 0.405 0.897
Sm6 0.000 0.132 0.272
O1 0.000 0.564 0.387
O2 0.000 0.383 0.053
S1 0.000 0.671 0.668
S2 0.500 0.327 0.338

---

Record 8
# SmS2O6F2

An optimized crystal structure of SmS2O6F2 (PBE, the Alexandria database).

Symmetry: P-3m1
E_form (uncorrected) in eV/atom: -1.77

abc: 5.860 5.860 5.929
angles: 90.00 90.00 120.00
Fractional coordinates of all 11 atoms:
Sm1 0.000 0.000 0.000
O1 0.388 0.194 0.209
O2 0.806 0.194 0.209
O3 0.194 0.388 0.791
O4 0.194 0.806 0.791
O5 0.806 0.612 0.209
O6 0.612 0.806 0.791
S1 0.333 0.667 0.717
S2 0.667 0.333 0.283
F1 0.333 0.667 0.413
F2 0.667 0.333 0.587

---

Record 9
# SnSOF2

An optimized crystal structure of SnSOF2 (PBE, the Alexandria database).

Distance to the lowest polymorph of the same formula in eV/atom: 0.233
Symmetry: P4/mmm
E_form (uncorrected) in eV/atom: -0.70

abc: 4.883 4.883 3.401
angles: 90.00 90.00 90.00
Fractional coordinates of all 5 atoms:
Sn1 0.500 0.500 0.500
F1 0.000 0.500 0.000
F2 0.500 0.000 0.000
O1 0.000 0.000 0.500
S1 0.000 0.000 0.000

---

Record 10
# SnSOF2

An optimized crystal structure of SnSOF2 (PBE, the Alexandria database).

Distance to the lowest polymorph of the same formula in eV/atom: 0.000
Symmetry: P4/mmm
E_form (uncorrected) in eV/atom: -0.93

abc: 4.351 4.351 3.992
angles: 90.00 90.00 90.00
Fractional coordinates of all 5 atoms:
S1 0.500 0.500 0.500
O1 0.000 0.000 0.500
F1 0.000 0.500 0.000
F2 0.500 0.000 0.000
Sn1 0.000 0.000 0.000

---

Record 11
# SrSO2F

An optimized crystal structure of SrSO2F (PBE, the Alexandria database).

Symmetry: P4/mmm
E_form (uncorrected) in eV/atom: -1.52

abc: 3.755 3.755 4.924
angles: 90.00 90.00 90.00
Fractional coordinates of all 5 atoms:
S1 0.000 0.000 0.000
F1 0.000 0.000 0.500
Sr1 0.500 0.500 0.500
O1 0.000 0.500 0.000
O2 0.500 0.000 0.000

---

Record 12
# SrSO4F

An optimized crystal structure of SrSO4F (PBE, the Alexandria database).

Symmetry: C2/m
E_form (uncorrected) in eV/atom: -1.96

abc: 6.134 6.134 6.842
angles: 80.39 80.39 76.40
Fractional coordinates of all 14 atoms:
S1 0.638 0.638 0.736
S2 0.362 0.362 0.264
F1 0.036 0.036 0.180
F2 0.964 0.964 0.820
O1 0.477 0.160 0.165
O2 0.519 0.519 0.237
O3 0.523 0.840 0.835
O4 0.481 0.481 0.763
O5 0.701 0.701 0.520
O6 0.840 0.523 0.835
O7 0.160 0.477 0.165
O8 0.299 0.299 0.480
Sr1 0.802 0.802 0.135
Sr2 0.198 0.198 0.865

---

no.,raw total energy (eV per atom)
1,-5.179
2,-3.407
3,-3.687
4,-3.786
5,-4.655
6,-3.817
7,-6.970
8,-5.999
9,-4.061
10,-4.294
11,-5.034
12,-5.894